Material: PuCd2Ge
Method: DFT, GGA-PBE
State: relaxed

The density comes out at 9.77 g/cm³. Its total moment is 5.59 μB per cell. The energy above the most stable polymorph in this dataset is 0.0000 eV per atom. The value obtained for the total energy is -5.355 eV per atom. The energy of formation is -0.160 eV per atom.

```
data_PuCd2Ge
_chemical_formula_sum 'Pu1 Cd2 Ge1'
_cell_length_a 5.015
_cell_length_b 4.284
_cell_length_c 4.284
_cell_angle_alpha 90.00
_cell_angle_beta 90.00
_cell_angle_gamma 90.00
_space_group_name_H-M_alt 'P 1'
_space_group_IT_number 1
loop_
_space_group_symop_operation_xyz
'x,y,z'
loop_
_atom_site_label
_atom_site_type_symbol
_atom_site_fract_x
_atom_site_fract_y
_atom_site_fract_z
Ge1 Ge 0.500 0.500 0.500
Cd1 Cd 0.000 0.000 0.500
Cd2 Cd 0.000 0.500 0.000
Pu1 Pu 0.500 0.000 0.000
```

---

Material: Pu2CdGe
Method: DFT, GGA-PBE
State: relaxed

The density comes out at 11.36 g/cm³. Its total moment is 11.64 μB per cell. The value obtained for the total energy is -8.764 eV per atom. The energy of formation is -0.215 eV per atom.

```
data_Pu2CdGe
_chemical_formula_sum 'Pu2 Cd1 Ge1'
_cell_length_a 3.557
_cell_length_b 3.557
_cell_length_c 7.774
_cell_angle_alpha 90.00
_cell_angle_beta 90.00
_cell_angle_gamma 90.00
_space_group_name_H-M_alt 'P 1'
_space_group_IT_number 1
loop_
_space_group_symop_operation_xyz
'x,y,z'
loop_
_atom_site_label
_atom_site_type_symbol
_atom_site_fract_x
_atom_site_fract_y
_atom_site_fract_z
Ge1 Ge 0.500 0.500 0.000
Cd1 Cd 0.500 0.500 0.500
Pu1 Pu 0.000 0.000 0.785
Pu2 Pu 0.000 0.000 0.215
```